# 1
# TiAlGe, relaxed, DFT PBE
data_TiAlGe
_cell_length_a 4.5099
_cell_length_b 4.5099
_cell_length_c 2.7461
_cell_angle_alpha 90.00
_cell_angle_beta 90.00
_cell_angle_gamma 120.00
_symmetry_space_group_name_H-M 'P -6 m 2'
_symmetry_Int_Tables_number 187
_symmetry_space_group_name_Hall 'P -6 2'
loop_
_atom_site_label
_atom_site_type_symbol
_atom_site_fract_x
_atom_site_fract_y
_atom_site_fract_z
Ti1 Ti 0.0000 0.0000 0.0000
Al1 Al 0.3333 0.6667 0.5000
Ge1 Ge 0.6667 0.3333 0.5000
# Final energy   -5.61 eV/atom
# Energy of formation   -0.19 eV/atom

# 2
# Ti4AlGe, relaxed, DFT PBE
data_Ti4AlGe
_cell_length_a 8.620
_cell_length_b 8.634
_cell_length_c 12.230
_cell_angle_alpha 90.00
_cell_angle_beta 90.00
_cell_angle_gamma 90.00
_symmetry_space_group_name_H-M 'F d d d'
_symmetry_Int_Tables_number 70
loop_
_symmetry_equiv_pos_as_xyz
'x,y,z'
'-x,-y,-z'
'-x+1/4,-y+1/4,z'
'x+1/4,y+1/4,-z'
'x,-y+1/4,-z+1/4'
'-x,y+1/4,z+1/4'
'-x+1/4,y,-z+1/4'
'x+1/4,-y,z+1/4'
'x,y+1/2,z+1/2'
'-x,-y+1/2,-z+1/2'
'-x+1/4,-y+3/4,z+1/2'
'x+1/4,y+3/4,-z+1/2'
'x,-y+3/4,-z+3/4'
'-x,y+3/4,z+3/4'
'-x+1/4,y+1/2,-z+3/4'
'x+1/4,-y+1/2,z+3/4'
'x+1/2,y,z+1/2'
'-x+1/2,-y,-z+1/2'
'-x+3/4,-y+1/4,z+1/2'
'x+3/4,y+1/4,-z+1/2'
'x+1/2,-y+1/4,-z+3/4'
'-x+1/2,y+1/4,z+3/4'
'-x+3/4,y,-z+3/4'
'x+3/4,-y,z+3/4'
'x+1/2,y+1/2,z'
'-x+1/2,-y+1/2,-z'
'-x+3/4,-y+3/4,z'
'x+3/4,y+3/4,-z'
'x+1/2,-y+3/4,-z+1/4'
'-x+1/2,y+3/4,z+1/4'
'-x+3/4,y+1/2,-z+1/4'
'x+3/4,-y+1/2,z+1/4'
loop_
_atom_site_label
_atom_site_type_symbol
_atom_site_fract_x
_atom_site_fract_y
_atom_site_fract_z
Ti1 Ti 0.124 0.374 0.250
Al1 Al 0.125 0.125 0.625
Ge1 Ge 0.125 0.125 0.125
# Final energy   -6.65 eV/atom
# Energy of formation   0.00 eV/atom

Number 1: Fermi-level density of states 1.034 states/eV/atom. Number 2: Fermi-level density of states 1.297 states/eV/atom.